Computed, not measured: Sr2LiPtO6 after structural relaxation at the PBE level of DFT. Values from VASP.

Values from the calculation:
Space group: Fm-3m, No. 225
E_tot (eV/atom): -5.695

```
&SYSTEM
  ibrav = 0, nat = 10, ntyp = 4
/
ATOMIC_SPECIES
Sr 87.62 Sr.upf
Li 6.94 Li.upf
Pt 195.08 Pt.upf
O 16.00 O.upf
CELL_PARAMETERS angstrom
0.000 3.917 3.917
3.917 0.000 3.917
3.917 3.917 0.000
ATOMIC_POSITIONS crystal
Sr 0.250 0.250 0.250
Sr 0.750 0.750 0.750
Li 0.000 0.000 0.000
Pt 0.500 0.500 0.500
O 0.253 0.253 0.747
O 0.253 0.747 0.253
O 0.253 0.747 0.747
O 0.747 0.253 0.253
O 0.747 0.253 0.747
O 0.747 0.747 0.253
```